Compound: LiZrMo3
Source: the Alexandria database
Functional: GGA-PBE
Structure: optimized geometry

```
5
Lattice="-1.223 2.010 -3.671 -0.408 -3.863 -1.979 -4.165 -0.212 1.271" Properties=species:S:1:pos:R:3 pbc="T T T"
Mo -0.204 -1.932 -0.990
Mo -2.082 -0.106 0.636
Mo -0.611 1.005 -1.835
Zr -2.898 -1.032 -2.189
Li 0.000 0.000 0.000
```

Results
Calculated formation energy, eV/atom: 1.09
Energy above the lowest structure with this stoichiometry, eV per formula unit: 0.00
Space group: Pm-3m (221)

Compound: LiZr2Mo
Source: the Alexandria database
Functional: GGA-PBE
Structure: optimized geometry

```
4
Lattice="-3.051 2.854 2.210 -3.292 2.314 -2.479 -4.545 -1.237 0.376" Properties=species:S:1:pos:R:3 pbc="T T T"
Mo -5.444 1.965 0.054
Zr -2.722 0.983 0.027
Zr -8.166 2.948 0.081
Li 0.000 0.000 0.000
```

Results
Calculated formation energy, eV/atom: 0.04
Energy above the lowest structure with this stoichiometry, eV per formula unit: 0.00
Space group: Fm-3m (225)

Compound: LiZr2Mo
Source: the Alexandria database
Functional: GGA-PBE
Structure: optimized geometry

```
4
Lattice="-1.639 -1.228 3.877 2.378 -1.572 0.507 4.026 4.014 2.973" Properties=species:S:1:pos:R:3 pbc="T T T"
Li 0.782 -0.003 2.809
Mo 3.984 1.218 4.549
Zr 6.138 2.488 3.382
Zr 3.468 1.175 1.838
```

Results
Calculated formation energy, eV/atom: 0.21
Energy above the lowest structure with this stoichiometry, eV per formula unit: 0.69
Space group: P2/m (10)

Compound: LiZr2Mo
Source: the Alexandria database
Functional: GGA-PBE
Structure: optimized geometry

```
4
Lattice="-0.482 0.135 2.781 4.650 -0.882 0.849 1.087 5.648 -0.085" Properties=species:S:1:pos:R:3 pbc="T T T"
Li 0.536 2.786 -0.042
Mo 2.927 4.006 1.749
Zr 1.056 5.487 -0.083
Zr 2.366 1.094 1.793
```

Results
Calculated formation energy, eV/atom: 0.33
Energy above the lowest structure with this stoichiometry, eV per formula unit: 1.15
Space group: Pmm2 (25)

Compound: LiZr2Mo
Source: the Alexandria database
Functional: GGA-PBE
Structure: optimized geometry

```
4
Lattice="2.913 0.005 0.000 -1.150 2.676 0.000 0.000 0.000 10.144" Properties=species:S:1:pos:R:3 pbc="T T T"
Li 0.000 0.000 5.291
Mo 0.882 1.341 7.642
Zr 0.000 0.000 9.879
Zr 0.882 1.341 2.548
```

Results
Calculated formation energy, eV/atom: 0.27
Energy above the lowest structure with this stoichiometry, eV per formula unit: 0.92
Space group: Cmm2 (35)

Compound: Li5N
Source: the Alexandria database
Functional: GGA-PBE
Structure: optimized geometry

```
6
Lattice="-1.597 -2.773 -0.523 2.053 -1.714 2.817 -5.069 2.448 2.506" Properties=species:S:1:pos:R:3 pbc="T T T"
Li -2.965 -0.987 4.238
Li -0.325 -0.325 2.717
Li 0.228 -2.243 1.147
Li -2.691 1.059 2.606
Li -1.649 -1.052 0.562
N 0.000 0.000 0.000
```

Results
Formation energy (no corrections), meV/atom: 9
Space group: Cmmm (65)

Number 1: total moment 0.0 μB per formula unit, total DFT energy (no corrections) -7.50 eV/atom. Number 2: total moment 0.0 μB per formula unit, total DFT energy (no corrections) -7.42 eV/atom. Number 3: total moment 0.0 μB per formula unit, total DFT energy (no corrections) -7.25 eV/atom. Number 4: total moment 0.0 μB per formula unit, total DFT energy (no corrections) -7.13 eV/atom. Number 5: total moment 0.0 μB per formula unit, total DFT energy (no corrections) -7.19 eV/atom. Number 6: total moment 0.0 μB per formula unit, total DFT energy (no corrections) -2.97 eV/atom.